Record 1
Density functional theory data (GGA-PBE) for an optimized crystal structure of GdTiIrPd.

Results
Electronic total energy in eV/atom: -9.583
Calculated formation energy in kJ/mol of atoms: -56

```
4
Lattice="4.703 0.000 0.000 2.351 4.073 0.000 2.351 1.358 3.840" Properties=species:S:1:pos:R:3 pbc="T T T"
Gd 4.703 2.715 1.920
Ir 2.351 1.358 0.960
Pd 7.054 4.073 2.880
Ti 0.000 0.000 0.000
```

***

Record 2
Density functional theory data (GGA-PBE) for an optimized crystal structure of Dy8Ir2Os.

Results
Electronic total energy in eV/atom: -6.356
Calculated formation energy in kJ/mol of atoms: -36

```
11
Lattice="5.828 0.057 -0.980 -1.926 6.707 -2.832 -0.117 -0.127 7.528" Properties=species:S:1:pos:R:3 pbc="T T T"
Ir 1.473 4.644 -0.042
Ir 2.152 2.080 3.845
Os -1.231 6.586 4.559
Dy 2.706 2.284 -0.916
Dy 3.171 0.529 1.744
Dy 0.283 2.366 1.511
Dy 5.268 1.386 4.343
Dy 4.232 5.300 -1.591
Dy 3.371 4.291 2.242
Dy 0.376 6.163 2.055
Dy 0.840 4.413 4.708
```

***

Record 3
Density functional theory data (GGA-PBE) for an optimized crystal structure of Ta2AsAu.

Results
Electronic total energy in eV/atom: -7.991
Energy relative to the lowest polymorph listed for this composition in meV per atom: 5
Calculated formation energy in kJ/mol of atoms: -8

```
4
Lattice="2.947 -0.005 0.000 -0.732 2.855 0.000 0.000 0.000 8.781" Properties=species:S:1:pos:R:3 pbc="T T T"
As 0.000 0.000 4.182
Au 1.108 1.425 6.699
Ta 0.000 0.000 0.047
Ta 1.108 1.425 2.243
```

***

Record 4
Density functional theory data (GGA-PBE) for an optimized crystal structure of Sm2TmHg.

Results
Electronic total energy in eV/atom: -3.761
Energy relative to the lowest polymorph listed for this composition in meV per atom: 18
Calculated formation energy in kJ/mol of atoms: -20

```
4
Lattice="3.664 0.000 0.000 0.000 3.664 0.000 0.000 0.000 8.886" Properties=species:S:1:pos:R:3 pbc="T T T"
Tm 1.832 1.832 4.443
Hg 1.832 1.832 0.000
Sm 0.000 0.000 6.875
Sm 0.000 0.000 2.011
```

***

Record 5
Density functional theory data (GGA-PBE) for an optimized crystal structure of Rb3ZrPd.

Results
Electronic total energy in eV/atom: -2.334
Energy relative to the lowest polymorph listed for this composition in meV per atom: 0
Calculated formation energy in kJ/mol of atoms: 96

```
5
Lattice="-5.682 -0.191 -3.043 -2.707 -2.642 5.222 -1.402 5.879 2.248" Properties=species:S:1:pos:R:3 pbc="T T T"
Rb -1.354 -1.321 2.611
Rb -0.701 2.939 1.124
Rb -2.841 -0.096 -1.521
Zr -4.895 1.523 2.213
Pd 0.000 0.000 0.000
```

***

Record 6
Density functional theory data (GGA-PBE) for an optimized crystal structure of KAlIn2Br6.

Results
Electronic total energy in eV/atom: -3.033
Formation energy (no corrections) in eV per formula unit: -9.97

```
10
Lattice="6.596 0.000 0.000 0.000 7.674 0.000 0.000 0.000 7.674" Properties=species:S:1:pos:R:3 pbc="T T T"
K 3.606 3.837 3.837
Al 4.122 0.000 0.000
In 0.071 3.837 0.000
In 0.071 0.000 3.837
Br 4.794 1.690 1.690
Br 4.794 1.690 5.984
Br 0.499 3.837 3.837
Br 1.787 0.000 0.000
Br 4.794 5.984 5.984
Br 4.794 5.984 1.690
```

***

Record 7
Density functional theory data (GGA-PBE) for an optimized crystal structure of PrFe2SiC.

Results
Electronic total energy in eV/atom: -7.658
Formation energy (no corrections) in eV per formula unit: -1.94

```
10
Lattice="-3.915 -0.357 0.167 2.370 -2.143 4.642 -0.424 6.068 3.017" Properties=species:S:1:pos:R:3 pbc="T T T"
Pr 0.049 2.484 6.471
Pr -2.018 1.084 1.355
Fe -0.261 4.908 4.378
Fe -1.708 -1.340 3.448
Fe -0.104 2.664 3.262
Fe -1.865 0.904 4.564
Si -2.088 3.318 4.493
Si 0.119 0.250 3.334
C 0.000 0.000 0.000
C -0.212 3.034 1.509
```

***

Record 8
Density functional theory data (GGA-PBE) for an optimized crystal structure of Si2PtW.

Results
Electronic total energy in eV/atom: -7.439
Energy relative to the lowest polymorph listed for this composition in meV per atom: 292
Formation energy (no corrections) in eV per formula unit: 0.08

```
4
Lattice="-1.343 2.336 3.891 -4.401 -1.451 0.962 4.310 -1.902 -0.458" Properties=species:S:1:pos:R:3 pbc="T T T"
Pt -1.482 -1.455 1.465
Si -0.051 0.008 0.043
Si -2.821 0.435 2.383
W 0.048 0.438 2.930
```